## Hf3AgC (PBE-GGA)

Data for a relaxed structure of Hf3AgC.

Unit cell a=5.0288 b=5.0288 c=5.0288 alpha=90.00 beta=90.00 gamma=90.00
Sites, in units of the cell vectors:
Hf: 0.0000 0.5000 0.0000
Hf: 0.5000 0.0000 0.0000
C: 0.5000 0.5000 0.5000
Ag: 0.0000 0.0000 0.0000
Hf: 0.0000 0.0000 0.5000

Computed properties:
ΔE to the lowest computed polymorph = 2638 meV/atom
Symmetry = No. 221
D(E_F) = 4.51 states/eV/f.u.